Record 1
Density functional theory data (GGA-PBEsol) for an optimized crystal structure of Sc2FeTc.

The structure belongs to space group R3m (No. 160, hexagonal axes); the cell edges are 2.9509, 2.9509 and 26.9126 Å and the angles 90.00°, 90.00° and 120.00°. Symmetry generates all atoms from Sc at (0.0000, 0.0000, 0.0000), Sc at (0.0000, 0.0000, 0.2263), Fe at (0.0000, 0.0000, 0.7448) and Tc at (0.0000, 0.0000, 0.4776).

Its crystal system is trigonal. The calculation puts the magnetization at 4.4 Bohr magnetons per cell. The energy relative to the elements comes out at 0.2842 eV/atom.

Record 2
Density functional theory data (GGA-PBEsol) for an optimized crystal structure of Sc2FeTc.

The structure belongs to space group F-43m (No. 216); the cell edges are 6.241, 6.241 and 6.241 Å and the angles 90.00°, 90.00° and 90.00°. Symmetry generates all atoms from Sc at (0.000, 0.000, 0.000), Sc at (0.250, 0.250, 0.250), Fe at (0.250, 0.250, 0.750) and Tc at (0.000, 0.000, 0.500).

Its crystal system is cubic. The calculation puts the magnetization at 0.0 Bohr magnetons per cell. The energy relative to the elements comes out at 0.1365 eV/atom.

Question: What is the energy relative to the elements in the first record?
Answer: 0.2842 eV/atom

Question: Which formula does entry 1 have?
Answer: Sc2FeTc